A geometry-optimized MgReBi2Br structure, computed with PBE.

Structure (CIF):
```
data_MgReBi2Br
_chemical_formula_sum 'Mg1 Re1 Bi2 Br1'
_cell_length_a 5.484
_cell_length_b 5.484
_cell_length_c 5.156
_cell_angle_alpha 90.00
_cell_angle_beta 90.00
_cell_angle_gamma 90.00
_symmetry_space_group_name_H-M 'P 4/m m m'
_symmetry_Int_Tables_number 123
_symmetry_space_group_name_Hall '-P 4 2'
loop_
_atom_site_label
_atom_site_fract_x
_atom_site_fract_y
_atom_site_fract_z
Mg1 0.000 0.000 0.000
Re1 0.000 0.000 0.500
Bi1 0.000 0.500 0.000
Br1 0.500 0.500 0.500
```

D(E_F) = 4.862 states/eV per cell
total DFT energy (no corrections) = -3.362 eV/atom
magnetization = 3.4 μB per formula unit
formation energy (no corrections) = 1333 meV per atom